No. 1
Below is an optimized crystal structure of Nd6Sb3Pt, with properties calculated at the PBE level.

Cell and atoms, written as CIF:
```
data_Nd6Sb3Pt
_symmetry_space_group_name_H-M 'C m c 21'
_symmetry_Int_Tables_number 36
_symmetry_space_group_name_Hall 'C 2c -2'
_cell_length_a 11.698
_cell_length_b 15.167
_cell_length_c 7.569
_cell_angle_alpha 90.00
_cell_angle_beta 90.00
_cell_angle_gamma 90.00
loop_
_atom_site_label
_atom_site_fract_x
_atom_site_fract_y
_atom_site_fract_z
Nd1 0.000 0.006 0.000
Nd2 0.000 0.248 0.084
Nd3 0.162 0.261 0.572
Nd4 0.174 0.461 0.104
Sb1 0.000 0.406 0.403
Sb2 0.178 0.109 0.278
Pt1 0.000 0.151 0.754
```

Values from the calculation:
Formation energy from raw total energies = -0.7741 eV per atom


No. 2
Below is an optimized crystal structure of Rb2SrGaI5, with properties calculated at the PBE level.

Cell and atoms, written as CIF:
```
data_Rb2SrGaI5
_symmetry_space_group_name_H-M 'C m c 21'
_symmetry_Int_Tables_number 36
_symmetry_space_group_name_Hall 'C 2c -2'
_cell_length_a 4.993
_cell_length_b 21.152
_cell_length_c 16.613
_cell_angle_alpha 90.00
_cell_angle_beta 90.00
_cell_angle_gamma 90.00
loop_
_atom_site_label
_atom_site_fract_x
_atom_site_fract_y
_atom_site_fract_z
Rb1 0.000 0.087 0.000
Rb2 0.000 0.130 0.646
Sr1 0.000 0.225 0.373
Ga1 0.000 0.454 0.795
I1 0.000 0.075 0.412
I2 0.000 0.262 0.009
I3 0.000 0.302 0.744
I4 0.000 0.377 0.333
I5 0.000 0.499 0.114
```

Values from the calculation:
Formation energy from raw total energies = -1.2933 eV per atom


No. 3
Below is an optimized crystal structure of YBe2Zn, with properties calculated at the PBE level.

Cell and atoms, written as CIF:
```
data_YBe2Zn
_symmetry_space_group_name_H-M 'P 4/m m m'
_symmetry_Int_Tables_number 123
_symmetry_space_group_name_Hall '-P 4 2'
_cell_length_a 3.065
_cell_length_b 3.065
_cell_length_c 6.490
_cell_angle_alpha 90.00
_cell_angle_beta 90.00
_cell_angle_gamma 90.00
loop_
_atom_site_label
_atom_site_fract_x
_atom_site_fract_y
_atom_site_fract_z
Y1 0.000 0.000 0.000
Be1 0.500 0.500 0.311
Zn1 0.000 0.000 0.500
```

Values from the calculation:
Calculated formation energy = 0.1769 eV/atom


No. 4
Below is an optimized crystal structure of ErAlC, with properties calculated at the PBE level.

Cell and atoms, written as CIF:
```
data_ErAlC
_symmetry_space_group_name_H-M 'P 4/n m m'
_symmetry_Int_Tables_number 129
_cell_length_a 3.575
_cell_length_b 3.575
_cell_length_c 7.698
_cell_angle_alpha 90.00
_cell_angle_beta 90.00
_cell_angle_gamma 90.00
loop_
_symmetry_equiv_pos_as_xyz
'x,y,z'
'-x,-y,-z'
'-y+1/2,x,z'
'y+1/2,-x,-z'
'-x+1/2,-y+1/2,z'
'x+1/2,y+1/2,-z'
'y,-x+1/2,z'
'-y,x+1/2,-z'
'x+1/2,-y,-z'
'-x+1/2,y,z'
'-y,-x,-z'
'y,x,z'
'-x,y+1/2,-z'
'x,-y+1/2,z'
'y+1/2,x+1/2,-z'
'-y+1/2,-x+1/2,z'
loop_
_atom_site_label
_atom_site_fract_x
_atom_site_fract_y
_atom_site_fract_z
Er1 0.250 0.250 0.152
Al1 0.250 0.250 0.586
C1 0.250 0.250 0.838
```

Values from the calculation:
Calculated formation energy = -0.3585 eV/atom


No. 5
Below is an optimized crystal structure of BaCrCl6, with properties calculated at the PBE level.

Cell and atoms, written as CIF:
```
data_BaCrCl6
_symmetry_space_group_name_H-M 'P -1'
_symmetry_Int_Tables_number 2
_symmetry_space_group_name_Hall '-P 1'
_cell_length_a 6.580
_cell_length_b 6.601
_cell_length_c 7.108
_cell_angle_alpha 90.13
_cell_angle_beta 117.41
_cell_angle_gamma 119.78
loop_
_atom_site_label
_atom_site_fract_x
_atom_site_fract_y
_atom_site_fract_z
Ba1 0.000 0.000 0.000
Cr1 0.000 0.500 0.500
Cl1 0.168 0.489 0.281
Cl2 0.207 0.321 0.719
Cl3 0.396 0.884 0.720
```

Values from the calculation:
Formation energy from raw total energies = -1.4301 eV per atom


No. 6
Below is an optimized crystal structure of U4Sb8Pd3, with properties calculated at the PBE level.

Cell and atoms, written as CIF:
```
data_U4Sb8Pd3
_symmetry_space_group_name_H-M 'P -4 m 2'
_symmetry_Int_Tables_number 115
_symmetry_space_group_name_Hall 'P -4 -2'
_cell_length_a 4.374
_cell_length_b 4.374
_cell_length_c 18.863
_cell_angle_alpha 90.00
_cell_angle_beta 90.00
_cell_angle_gamma 90.00
loop_
_atom_site_label
_atom_site_fract_x
_atom_site_fract_y
_atom_site_fract_z
U1 0.000 0.500 0.116
U2 0.000 0.500 0.626
Sb1 0.000 0.000 0.245
Sb2 0.000 0.500 0.409
Sb3 0.000 0.500 0.918
Sb4 0.500 0.500 0.245
Pd1 0.000 0.000 0.000
Pd2 0.000 0.000 0.500
Pd3 0.500 0.500 0.500
```

Values from the calculation:
Formation energy from raw total energies = -0.4041 eV per atom


No. 7
Below is an optimized crystal structure of SrTl2HgRh, with properties calculated at the PBE level.

Cell and atoms, written as CIF:
```
data_SrTl2HgRh
_symmetry_space_group_name_H-M 'P 4/m m m'
_symmetry_Int_Tables_number 123
_symmetry_space_group_name_Hall '-P 4 2'
_cell_length_a 5.286
_cell_length_b 5.286
_cell_length_c 5.727
_cell_angle_alpha 90.00
_cell_angle_beta 90.00
_cell_angle_gamma 90.00
loop_
_atom_site_label
_atom_site_fract_x
_atom_site_fract_y
_atom_site_fract_z
Sr1 0.000 0.000 0.000
Tl1 0.000 0.500 0.500
Hg1 0.500 0.500 0.000
Rh1 0.000 0.000 0.500
```

Values from the calculation:
Calculated formation energy = -0.2096 eV/atom


No. 8
Below is an optimized crystal structure of TiFeAu, with properties calculated at the PBE level.

Cell and atoms, written as CIF:
```
data_TiFeAu
_symmetry_space_group_name_H-M 'I 4 m m'
_symmetry_Int_Tables_number 107
_symmetry_space_group_name_Hall 'I 4 -2'
_cell_length_a 3.206
_cell_length_b 3.206
_cell_length_c 8.889
_cell_angle_alpha 90.00
_cell_angle_beta 90.00
_cell_angle_gamma 90.00
loop_
_atom_site_label
_atom_site_fract_x
_atom_site_fract_y
_atom_site_fract_z
Ti1 0.000 0.000 0.000
Fe1 0.000 0.000 0.634
Au1 0.000 0.000 0.316
```

Values from the calculation:
Calculated formation energy = -0.2021 eV/atom


No. 9
Below is an optimized crystal structure of La8Ir3PtBr3, with properties calculated at the PBE level.

Cell and atoms, written as CIF:
```
data_La8Ir3PtBr3
_symmetry_space_group_name_H-M 'C 1 2/m 1'
_symmetry_Int_Tables_number 12
_symmetry_space_group_name_Hall '-C 2y'
_cell_length_a 14.678
_cell_length_b 8.474
_cell_length_c 9.204
_cell_angle_alpha 90.00
_cell_angle_beta 122.12
_cell_angle_gamma 90.00
loop_
_atom_site_label
_atom_site_fract_x
_atom_site_fract_y
_atom_site_fract_z
La1 0.018 0.244 0.301
La2 0.234 0.000 0.699
La3 0.236 0.500 0.699
Ir1 0.000 0.000 0.500
Ir2 0.250 0.250 0.500
Pt1 0.000 0.500 0.500
Br1 0.000 0.500 0.000
Br2 0.250 0.250 0.000
```

Values from the calculation:
Formation energy from raw total energies = -1.1903 eV per atom


No. 10
Below is an optimized crystal structure of DyYMgCo, with properties calculated at the PBE level.

Cell and atoms, written as CIF:
```
data_DyYMgCo
_symmetry_space_group_name_H-M 'F -4 3 m'
_symmetry_Int_Tables_number 216
_symmetry_space_group_name_Hall 'F -4 2 3'
_cell_length_a 7.112
_cell_length_b 7.112
_cell_length_c 7.112
_cell_angle_alpha 90.00
_cell_angle_beta 90.00
_cell_angle_gamma 90.00
loop_
_atom_site_label
_atom_site_fract_x
_atom_site_fract_y
_atom_site_fract_z
Dy1 0.000 0.000 0.000
Y1 0.000 0.000 0.500
Mg1 0.250 0.250 0.750
Co1 0.250 0.250 0.250
```

Values from the calculation:
Calculated formation energy = -0.0101 eV/atom


No. 11
Below is an optimized crystal structure of PmAgCO5, with properties calculated at the PBE level.

Cell and atoms, written as CIF:
```
data_PmAgCO5
_symmetry_space_group_name_H-M 'C 1 2/c 1'
_symmetry_Int_Tables_number 15
_symmetry_space_group_name_Hall '-C 2yc'
_cell_length_a 7.938
_cell_length_b 8.620
_cell_length_c 8.088
_cell_angle_alpha 90.00
_cell_angle_beta 117.69
_cell_angle_gamma 90.00
loop_
_atom_site_label
_atom_site_fract_x
_atom_site_fract_y
_atom_site_fract_z
Pm1 0.250 0.250 0.000
Ag1 0.000 0.094 0.250
C1 0.000 0.410 0.250
O1 0.000 0.139 0.750
O2 0.053 0.307 0.145
O3 0.147 0.496 0.862
```

Values from the calculation:
Formation energy from raw total energies = -1.3541 eV per atom


No. 12
Below is an optimized crystal structure of BaCdBi, with properties calculated at the PBE level.

Cell and atoms, written as CIF:
```
data_BaCdBi
_symmetry_space_group_name_H-M 'I 4 m m'
_symmetry_Int_Tables_number 107
_symmetry_space_group_name_Hall 'I 4 -2'
_cell_length_a 4.736
_cell_length_b 4.736
_cell_length_c 10.037
_cell_angle_alpha 90.00
_cell_angle_beta 90.00
_cell_angle_gamma 90.00
loop_
_atom_site_label
_atom_site_fract_x
_atom_site_fract_y
_atom_site_fract_z
Ba1 0.000 0.000 0.000
Cd1 0.000 0.000 0.668
Bi1 0.000 0.000 0.351
```

Values from the calculation:
Calculated formation energy = -0.3445 eV/atom


| no. | E_tot (eV per atom) | DOS at the Fermi energy (states/eV/f.u.) | total magnetization (μB per formula unit) |
| --- | --- | --- | --- |
| 1 | -5.476 | 9.98 | 0.668 |
| 2 | -2.893 | 0.00 | 0.000 |
| 3 | -3.621 | 1.40 | 0.000 |
| 4 | -6.202 | 0.47 | 0.000 |
| 5 | -4.258 | 7.64 | 1.995 |
| 6 | -6.651 | 31.93 | 7.615 |
| 7 | -3.023 | 2.33 | 0.000 |
| 8 | -6.747 | 3.88 | 1.555 |
| 9 | -6.328 | 8.38 | 0.003 |
| 10 | -4.952 | 2.42 | 0.325 |
| 11 | -6.556 | 4.42 | 1.703 |
| 12 | -2.584 | 3.98 | 0.000 |